Here is crystalline AcTh2Ga at its relaxed geometry from the Alexandria database. Energies are from PBE-GGA.

Results
The relative energy among the computed polymorphs is 0.000 eV/atom. For the formation energy from the elements, the calculation gives -0.11 eV per atom. The calculation puts the total energy at -22.42 eV per formula unit.

a = 3.7572 Å, b = 3.7572 Å, c = 8.8964 Å
α = 90.00°, β = 90.00°, γ = 90.00°
Fractional coordinates of all 4 atoms:
1 Ac 0.0000 0.0000 0.0000
2 Th 0.5000 0.5000 0.3014
3 Th 0.5000 0.5000 0.6986
4 Ga 0.0000 0.0000 0.5000